This record from OQMD via LeMat-Bulk describes a geometry-optimized PmDySn structure. The functional is PBE-GGA.

Properties
Size of the total moment (μB per atom): 0.005
E_tot (eV per cell): -14.6
Space-group type: No. 216
Energy relative to the lowest polymorph listed for this composition (meV/atom): 0
Calculated volume (A^3/atom): 33.07

Lattice parameters (Å, degrees): 5.196 5.196 5.196 60.00 60.00 60.00
Fractional coordinates of all 3 atoms:
Pm: 0.000 0.000 0.000
Dy: 0.500 0.500 0.500
Sn: 0.750 0.750 0.750